(1)
This record from Alexandria via LeMat-Bulk describes crystalline Tb4DyAg at its relaxed geometry. The functional is GGA-PBE.

## Properties
symmetry: P4/mmm (123)
offset from the most stable computed form: 0.0 meV/atom
formation energy from the elements: -8 kJ per mole of atoms
density: 8.51 Mg/m³

Cell and atoms, written as POSCAR:
```
Tb4DyAg
1.0
-0.288 -0.458 3.519
-1.221 -3.302 -0.530
13.055 -4.899 0.432
Tb Dy Ag
4 1 1
Cartesian
9.965 -5.903 1.849 Tb
6.821 -6.887 3.264 Tb
1.581 -2.757 1.572 Tb
4.725 -1.773 0.156 Tb
0.000 0.000 0.000 Dy
5.773 -4.330 1.710 Ag
```

=====

(2)
This record from Alexandria via LeMat-Bulk describes crystalline LaTiAs2 at its relaxed geometry. The functional is GGA-PBE.

## Properties
symmetry: Fm-3m (225)
offset from the most stable computed form: 404.5 meV/atom
formation energy from the elements: -71 kJ per mole of atoms
density: 6.49 Mg/m³

Cell and atoms, written as POSCAR:
```
LaTiAs2
1.0
-4.925 -0.556 -0.075
-2.623 0.581 4.165
-2.948 3.948 0.542
Ti La As
1 1 2
Cartesian
0.000 0.000 0.000 Ti
-5.248 1.986 2.316 La
-7.872 2.979 3.474 As
-2.624 0.993 1.158 As
```